No. 1
Compound: CaPrAg
Source: the Alexandria database
Functional: PBE
Structure: relaxed

The energy of formation comes out at -0.0259 eV/atom. The calculation puts the distance to the lowest polymorph of the same formula at 118 meV/atom. For the total energy, the calculation gives -3.237 eV per atom. As for the density of states at the Fermi level: 18.5 states/eV/cell.

Cell lengths 7.347, 7.347, 7.347 Å; angles 90.00, 90.00, 90.00 degrees
Sites, in units of the cell vectors:
Ca  0.000  0.000  0.000
Ca  0.000  0.500  0.500
Ca  0.500  0.000  0.500
Ca  0.500  0.500  0.000
Pr  0.000  0.000  0.500
Pr  0.000  0.500  0.000
Pr  0.500  0.000  0.000
Pr  0.500  0.500  0.500
Ag  0.250  0.250  0.750
Ag  0.250  0.750  0.250
Ag  0.750  0.250  0.250
Ag  0.750  0.750  0.750

No. 2
Compound: CaPrAgPt
Source: the Alexandria database
Functional: PBE
Structure: relaxed

The energy of formation comes out at -0.6437 eV/atom. The calculation puts the distance to the lowest polymorph of the same formula at 31 meV/atom. For the total energy, the calculation gives -4.562 eV per atom. As for the density of states at the Fermi level: 14.6 states/eV/cell.

Cell lengths 7.283, 7.283, 7.283 Å; angles 90.00, 90.00, 90.00 degrees
Sites, in units of the cell vectors:
Ca  0.000  0.000  0.000
Ca  0.000  0.500  0.500
Ca  0.500  0.000  0.500
Ca  0.500  0.500  0.000
Pr  0.000  0.000  0.500
Pr  0.000  0.500  0.000
Pr  0.500  0.000  0.000
Pr  0.500  0.500  0.500
Ag  0.250  0.250  0.750
Ag  0.250  0.750  0.250
Ag  0.750  0.250  0.250
Ag  0.750  0.750  0.750
Pt  0.250  0.250  0.250
Pt  0.250  0.750  0.750
Pt  0.750  0.250  0.750
Pt  0.750  0.750  0.250

No. 3
Compound: CaPrAgPt
Source: the Alexandria database
Functional: PBE
Structure: relaxed

The energy of formation comes out at -0.6747 eV/atom. The calculation puts the distance to the lowest polymorph of the same formula at 0 meV/atom. For the total energy, the calculation gives -4.593 eV per atom. As for the density of states at the Fermi level: 6.6 states/eV/cell.

Cell lengths 4.451, 4.036, 11.411 Å; angles 90.00, 90.00, 90.00 degrees
Sites, in units of the cell vectors:
Ca  0.000  0.000  0.000
Ca  0.000  0.500  0.500
Pr  0.500  0.000  0.279
Pr  0.500  0.500  0.779
Ag  0.500  0.000  0.563
Ag  0.500  0.500  0.063
Pt  0.000  0.000  0.729
Pt  0.000  0.500  0.229

No. 4
Compound: Ca3Pr3AgS8
Source: the Alexandria database
Functional: PBE
Structure: relaxed

For the total energy, the calculation gives -5.518 eV per atom. As for the density of states at the Fermi level: 1.1 states/eV/cell. The uncorrected formation energy comes out at -1.770 eV/atom.

Cell lengths 8.115, 8.115, 8.115 Å; angles 60.15, 60.15, 60.15 degrees
Sites, in units of the cell vectors:
Ca  0.000  0.500  0.500
Ca  0.500  0.000  0.500
Ca  0.500  0.500  0.000
Pr  0.000  0.000  0.500
Pr  0.000  0.500  0.000
Pr  0.500  0.000  0.000
Ag  0.500  0.500  0.500
S  0.248  0.749  0.749
S  0.251  0.251  0.251
S  0.251  0.251  0.752
S  0.251  0.752  0.251
S  0.749  0.248  0.749
S  0.749  0.749  0.248
S  0.749  0.749  0.749
S  0.752  0.251  0.251

No. 5
Compound: CaPr2AgS4
Source: the Alexandria database
Functional: PBE
Structure: relaxed

For the total energy, the calculation gives -5.493 eV per atom. As for the density of states at the Fermi level: 3.1 states/eV/cell. The uncorrected formation energy comes out at -1.628 eV/atom.

Cell lengths 7.034, 4.090, 7.058 Å; angles 90.00, 110.35, 90.00 degrees
Sites, in units of the cell vectors:
Ca  0.000  0.000  0.000
Pr  0.500  0.000  0.500
Pr  0.500  0.500  0.000
Ag  0.000  0.500  0.500
S  0.246  0.000  0.748
S  0.247  0.500  0.244
S  0.753  0.500  0.756
S  0.754  0.000  0.252

No. 6
Compound: Ca2PrAgS4
Source: the Alexandria database
Functional: PBE
Structure: relaxed

For the total energy, the calculation gives -5.186 eV per atom. The uncorrected formation energy comes out at -1.668 eV/atom.

Cell lengths 6.910, 4.092, 7.062 Å; angles 90.00, 109.71, 90.00 degrees
Sites, in units of the cell vectors:
Ca  0.000  0.000  0.000
Ca  0.500  0.500  0.000
Pr  0.000  0.500  0.500
Ag  0.500  0.000  0.500
S  0.246  0.000  0.755
S  0.248  0.500  0.248
S  0.752  0.500  0.752
S  0.754  0.000  0.245

No. 7
Compound: CaPr2AgSe4
Source: the Alexandria database
Functional: PBE
Structure: relaxed

For the total energy, the calculation gives -5.064 eV per atom. As for the density of states at the Fermi level: 3.1 states/eV/cell. The uncorrected formation energy comes out at -1.521 eV/atom.

Cell lengths 7.308, 4.242, 7.347 Å; angles 90.00, 110.22, 90.00 degrees
Sites, in units of the cell vectors:
Ca  0.000  0.000  0.000
Pr  0.000  0.500  0.500
Pr  0.500  0.000  0.500
Ag  0.500  0.500  0.000
Se  0.246  0.500  0.245
Se  0.255  0.000  0.757
Se  0.745  0.000  0.243
Se  0.754  0.500  0.755

No. 8
Compound: CaPrSmAg
Source: the Alexandria database
Functional: PBE
Structure: relaxed

The energy of formation comes out at -0.1233 eV/atom. For the total energy, the calculation gives -3.711 eV per atom. As for the density of states at the Fermi level: 5.4 states/eV/cell.

Cell lengths 3.709, 3.709, 9.092 Å; angles 90.00, 90.00, 90.00 degrees
Sites, in units of the cell vectors:
Ca  0.000  0.000  0.000
Pr  0.500  0.500  0.319
Sm  0.000  0.000  0.595
Ag  0.500  0.500  0.793

No. 9
Compound: Ca3Pr2AgTe6
Source: the Alexandria database
Functional: PBE
Structure: relaxed

For the total energy, the calculation gives -4.434 eV per atom. As for the density of states at the Fermi level: 4.1 states/eV/cell. The uncorrected formation energy comes out at -1.328 eV/atom.

Cell lengths 7.802, 7.802, 7.816 Å; angles 99.64, 99.64, 120.00 degrees
Sites, in units of the cell vectors:
Ca  0.000  0.000  0.000
Ca  0.331  0.669  0.000
Ca  0.669  0.331  0.000
Pr  0.166  0.834  0.500
Pr  0.834  0.166  0.500
Ag  0.500  0.500  0.500
Te  0.090  0.417  0.251
Te  0.256  0.256  0.751
Te  0.417  0.090  0.251
Te  0.583  0.910  0.749
Te  0.744  0.744  0.249
Te  0.910  0.583  0.749

No. 10
Compound: CaPrAgTe3
Source: the Alexandria database
Functional: PBE
Structure: relaxed

For the total energy, the calculation gives -4.357 eV per atom. The uncorrected formation energy comes out at -1.181 eV/atom.

Cell lengths 8.974, 4.346, 9.902 Å; angles 90.00, 102.21, 90.00 degrees
Sites, in units of the cell vectors:
Ca  0.168  0.250  0.168
Ca  0.832  0.750  0.832
Pr  0.316  0.750  0.756
Pr  0.684  0.250  0.244
Ag  0.419  0.750  0.417
Ag  0.581  0.250  0.583
Te  0.088  0.250  0.842
Te  0.244  0.250  0.500
Te  0.416  0.750  0.129
Te  0.584  0.250  0.871
Te  0.756  0.750  0.500
Te  0.912  0.750  0.158

No. 11
Compound: Ca2PrAgTe4
Source: the Alexandria database
Functional: PBE
Structure: relaxed

For the total energy, the calculation gives -4.250 eV per atom. The uncorrected formation energy comes out at -1.225 eV/atom.

Cell lengths 7.770, 4.514, 7.819 Å; angles 90.00, 110.05, 90.00 degrees
Sites, in units of the cell vectors:
Ca  0.000  0.000  0.000
Ca  0.500  0.500  0.000
Pr  0.000  0.500  0.500
Ag  0.500  0.000  0.500
Te  0.250  0.000  0.753
Te  0.260  0.500  0.260
Te  0.740  0.500  0.740
Te  0.750  0.000  0.247

No. 12
Compound: CaPr2AgTe4
Source: the Alexandria database
Functional: PBE
Structure: relaxed

For the total energy, the calculation gives -4.560 eV per atom. As for the density of states at the Fermi level: 3.0 states/eV/cell. The uncorrected formation energy comes out at -1.188 eV/atom.

Cell lengths 7.723, 4.485, 7.883 Å; angles 90.00, 109.86, 90.00 degrees
Sites, in units of the cell vectors:
Ca  0.000  0.000  0.000
Pr  0.000  0.500  0.500
Pr  0.500  0.000  0.500
Ag  0.500  0.500  0.000
Te  0.250  0.500  0.243
Te  0.260  0.000  0.762
Te  0.740  0.000  0.238
Te  0.750  0.500  0.757

No. 13
Compound: CaPrYAg
Source: the Alexandria database
Functional: PBE
Structure: relaxed

The energy of formation comes out at -0.1343 eV/atom. For the total energy, the calculation gives -4.158 eV per atom. As for the density of states at the Fermi level: 5.2 states/eV/cell.

Cell lengths 3.640, 3.640, 9.317 Å; angles 90.00, 90.00, 90.00 degrees
Sites, in units of the cell vectors:
Ca  0.000  0.000  0.000
Pr  0.500  0.500  0.323
Y  0.000  0.000  0.599
Ag  0.500  0.500  0.789